Here is a geometry-optimized Na12H5Au3 structure from the Alexandria database. Energies are from PBE.

Results
The total energy is -2.21 eV/atom. The space group is Ia-3d (230). Its total magnetization is 0.0 μB/cell. As for the crystal system: cubic. The theoretical density is 3200 kg/m³.

a b c (Å): 13.297 13.297 13.297
angles (deg): 109.47 109.47 109.47
Atoms (fractional coordinates):
Na1 0.022 0.205 0.118
Na2 0.022 0.317 0.904
Na3 0.087 0.705 0.683
Na4 0.087 0.882 0.404
Na5 0.096 0.618 0.413
Na6 0.096 0.978 0.683
Na7 0.118 0.022 0.205
Na8 0.118 0.596 0.913
Na9 0.183 0.205 0.587
Na10 0.183 0.478 0.596
Na11 0.205 0.118 0.022
Na12 0.205 0.587 0.183
Na13 0.295 0.317 0.913
Na14 0.295 0.478 0.382
Na15 0.317 0.904 0.022
Na16 0.317 0.913 0.295
Na17 0.382 0.295 0.478
Na18 0.382 0.587 0.904
Na19 0.404 0.087 0.882
Na20 0.404 0.817 0.522
Na21 0.413 0.096 0.618
Na22 0.413 0.817 0.795
Na23 0.478 0.382 0.295
Na24 0.478 0.596 0.183
Na25 0.522 0.404 0.817
Na26 0.522 0.618 0.705
Na27 0.587 0.183 0.205
Na28 0.587 0.904 0.382
Na29 0.596 0.183 0.478
Na30 0.596 0.913 0.118
Na31 0.618 0.413 0.096
Na32 0.618 0.705 0.522
Na33 0.683 0.087 0.705
Na34 0.683 0.096 0.978
Na35 0.705 0.522 0.618
Na36 0.705 0.683 0.087
Na37 0.795 0.413 0.817
Na38 0.795 0.882 0.978
Na39 0.817 0.522 0.404
Na40 0.817 0.795 0.413
Na41 0.882 0.404 0.087
Na42 0.882 0.978 0.795
Na43 0.904 0.022 0.317
Na44 0.904 0.382 0.587
Na45 0.913 0.118 0.596
Na46 0.913 0.295 0.317
Na47 0.978 0.683 0.096
Na48 0.978 0.795 0.882
H1 0.000 0.000 0.000
H2 0.000 0.000 0.500
H3 0.000 0.500 0.000
H4 0.000 0.500 0.500
H5 0.125 0.750 0.875
H6 0.125 0.875 0.250
H7 0.250 0.125 0.875
H8 0.250 0.625 0.375
H9 0.375 0.250 0.625
H10 0.375 0.625 0.750
H11 0.500 0.000 0.000
H12 0.500 0.000 0.500
H13 0.500 0.500 0.000
H14 0.500 0.500 0.500
H15 0.625 0.375 0.250
H16 0.625 0.750 0.375
H17 0.750 0.375 0.625
H18 0.750 0.875 0.125
H19 0.875 0.125 0.750
H20 0.875 0.250 0.125
Au1 0.125 0.250 0.375
Au2 0.125 0.375 0.750
Au3 0.250 0.375 0.125
Au4 0.250 0.875 0.625
Au5 0.375 0.125 0.250
Au6 0.375 0.750 0.125
Au7 0.625 0.250 0.875
Au8 0.625 0.875 0.750
Au9 0.750 0.125 0.375
Au10 0.750 0.625 0.875
Au11 0.875 0.625 0.250
Au12 0.875 0.750 0.625

Here is a geometry-optimized FeTcMoOs structure from the Alexandria database. Energies are from PBE.

Results
The space group is F-43m (216). The calculation puts the formation energy at 0.15 eV per atom. Its total magnetization is 3.5 μB/cell. As for the crystal system: cubic. The theoretical density is 12686 kg/m³.

a b c (Å): 4.335 4.335 4.335
angles (deg): 60.00 60.00 60.00
Atoms (fractional coordinates):
Fe1 0.000 0.000 0.000
Tc1 0.750 0.750 0.750
Mo1 0.500 0.500 0.500
Os1 0.250 0.250 0.250

Here is a geometry-optimized Mg7Cd12Ga structure from the Alexandria database. Energies are from PBE.

Results
The space group is R-3 (148). The calculation puts the formation energy at -0.04 eV per atom. Its total magnetization is 0.0 μB/cell. As for the crystal system: trigonal. The theoretical density is 5925 kg/m³.

a b c (Å): 8.094 8.094 8.094
angles (deg): 106.69 106.69 106.69
Atoms (fractional coordinates):
Mg1 0.000 0.000 0.000
Mg2 0.179 0.479 0.603
Mg3 0.397 0.821 0.521
Mg4 0.479 0.603 0.179
Mg5 0.521 0.397 0.821
Mg6 0.603 0.179 0.479
Mg7 0.821 0.521 0.397
Cd1 0.096 0.458 0.201
Cd2 0.136 0.268 0.835
Cd3 0.165 0.864 0.732
Cd4 0.201 0.096 0.458
Cd5 0.268 0.835 0.136
Cd6 0.458 0.201 0.096
Cd7 0.542 0.799 0.904
Cd8 0.732 0.165 0.864
Cd9 0.799 0.904 0.542
Cd10 0.835 0.136 0.268
Cd11 0.864 0.732 0.165
Cd12 0.904 0.542 0.799
Ga1 0.500 0.500 0.500

Here is a geometry-optimized ScHgP2 structure from the Alexandria database. Energies are from PBE.

Results
The space group is Cm (8). The calculation puts the formation energy at -0.39 eV per atom. Its total magnetization is 0.0 μB/cell. As for the crystal system: monoclinic. The theoretical density is 6230 kg/m³.

a b c (Å): 6.188 6.188 3.793
angles (deg): 103.72 103.72 35.65
Atoms (fractional coordinates):
Sc1 0.000 0.000 0.000
Hg1 0.260 0.260 0.892
P1 0.470 0.470 0.476
P2 0.644 0.644 0.344

Here is a geometry-optimized BiSO2 structure from the Alexandria database. Energies are from PBE.

Results
The space group is R-3m (166). The energy relative to the lowest polymorph listed for this composition comes out at 0.604 eV per atom. Its total magnetization is 1.0 μB/cell. As for the crystal system: trigonal. The calculation puts the uncorrected formation energy at -0.41 eV per atom. The theoretical density is 6360 kg/m³.

a b c (Å): 6.470 6.470 6.470
angles (deg): 32.95 32.95 32.95
Atoms (fractional coordinates):
Bi1 0.000 0.000 0.000
S1 0.500 0.500 0.500
O1 0.394 0.394 0.394
O2 0.606 0.606 0.606

Here is a geometry-optimized InSb2Se structure from the Alexandria database. Energies are from PBE.

Results
The space group is P4mm (99). The energy relative to the lowest polymorph listed for this composition comes out at 0.236 eV per atom. Its total magnetization is 0.0 μB/cell. As for the crystal system: tetragonal. The calculation puts the uncorrected formation energy at 0.04 eV per atom. The theoretical density is 6402 kg/m³.

a b c (Å): 3.784 3.784 7.922
angles (deg): 90.00 90.00 90.00
Atoms (fractional coordinates):
In1 0.000 0.000 0.000
Sb1 0.000 0.000 0.543
Sb2 0.500 0.500 0.355
Se1 0.500 0.500 0.866

Here is a geometry-optimized KSnBr3 structure from the Alexandria database. Energies are from PBE.

Results
The space group is Pnma (62). Its total magnetization is 0.0 μB/cell. As for the crystal system: orthorhombic. The calculation puts the uncorrected formation energy at -1.17 eV per atom. The theoretical density is 3750 kg/m³.

a b c (Å): 9.761 4.499 16.034
angles (deg): 90.00 90.00 90.00
Atoms (fractional coordinates):
K1 0.083 0.250 0.176
K2 0.417 0.750 0.676
K3 0.583 0.250 0.324
K4 0.917 0.750 0.824
Sn1 0.173 0.750 0.442
Sn2 0.327 0.250 0.942
Sn3 0.673 0.750 0.058
Sn4 0.827 0.250 0.558
Br1 0.009 0.750 0.620
Br2 0.157 0.750 0.016
Br3 0.189 0.250 0.789
Br4 0.311 0.750 0.289
Br5 0.343 0.250 0.516
Br6 0.491 0.250 0.120
Br7 0.509 0.750 0.880
Br8 0.657 0.750 0.484
Br9 0.689 0.250 0.711
Br10 0.811 0.750 0.211
Br11 0.843 0.250 0.984
Br12 0.991 0.250 0.380

Here is a geometry-optimized ZnPBr2 structure from the Alexandria database. Energies are from PBE.

Results
The space group is Cm (8). The energy relative to the lowest polymorph listed for this composition comes out at 0.000 eV per atom. Its total magnetization is 0.0 μB/cell. As for the crystal system: monoclinic. The calculation puts the uncorrected formation energy at -0.27 eV per atom. The theoretical density is 3807 kg/m³.

a b c (Å): 4.070 4.070 8.550
angles (deg): 92.31 92.31 52.17
Atoms (fractional coordinates):
Zn1 0.000 0.000 0.000
P1 0.705 0.705 0.117
Br1 0.487 0.487 0.787
Br2 0.751 0.751 0.374

Here is a geometry-optimized Os3Se structure from the Alexandria database. Energies are from PBE.

Results
The space group is R-3m (166). The energy relative to the lowest polymorph listed for this composition comes out at 0.000 eV per atom. Its total magnetization is 0.0 μB/cell. As for the crystal system: trigonal. The calculation puts the uncorrected formation energy at 0.53 eV per atom. The theoretical density is 18164 kg/m³.

a b c (Å): 8.690 8.690 8.690
angles (deg): 18.78 18.78 18.78
Atoms (fractional coordinates):
Os1 0.000 0.000 0.000
Os2 0.249 0.249 0.249
Os3 0.751 0.751 0.751
Se1 0.500 0.500 0.500

Here is a geometry-optimized SrGaCl5 structure from the Alexandria database. Energies are from PBE.

Results
The space group is C2/c (15). Its total magnetization is 0.2 μB/cell. As for the crystal system: monoclinic. The calculation puts the uncorrected formation energy at -1.67 eV per atom. The theoretical density is 2218 kg/m³.

a b c (Å): 7.387 7.387 10.572
angles (deg): 111.07 111.07 85.99
Atoms (fractional coordinates):
Sr1 0.000 0.000 0.000
Sr2 0.000 0.000 0.500
Ga1 0.407 0.593 0.750
Ga2 0.593 0.407 0.250
Cl1 0.089 0.911 0.250
Cl2 0.263 0.685 0.563
Cl3 0.275 0.356 0.177
Cl4 0.315 0.737 0.937
Cl5 0.356 0.275 0.677
Cl6 0.644 0.725 0.323
Cl7 0.685 0.263 0.063
Cl8 0.725 0.644 0.823
Cl9 0.737 0.315 0.437
Cl10 0.911 0.089 0.750